No. 1
Below is a relaxed structure of Dy3AlAg3Se8, with properties calculated at the PBE level.

```
Dy3AlAg3Se8
1.0
8.192 0.000 0.000
-4.096 7.093 -0.036
0.000 -4.719 6.483
Dy Se Ag Al
3 8 3 1
Cartesian
2.048 1.187 3.224
-2.048 1.187 3.224
4.096 -2.359 3.242
4.096 0.013 4.795
6.329 -3.427 4.745
1.863 -3.427 4.745
0.000 2.362 1.653
2.233 5.802 1.702
-2.233 5.802 1.702
0.000 -0.202 4.728
4.096 2.576 1.719
2.048 3.547 -0.018
0.000 0.000 0.000
-2.048 3.547 -0.018
0.000 -2.359 3.242
```

Its space-group type is C2/m. The value obtained for the raw total energy is -4.627 eV/atom. The density of states at the Fermi level is 7.2 states/eV/cell. The uncorrected formation energy is -1.028 eV per atom.

=====

No. 2
Below is a relaxed structure of SmDyAlAg, with properties calculated at the PBE level.

```
SmDyAlAg
1.0
3.585 0.000 0.000
0.000 3.585 0.000
0.000 0.000 7.640
Al Ag Dy Sm
1 1 1 1
Cartesian
1.792 1.792 4.568
1.792 1.792 0.936
0.000 0.000 2.713
0.000 0.000 6.513
```

Its space-group type is P4mm. The value obtained for the raw total energy is -4.326 eV/atom. The energy above the most stable polymorph in this dataset is 0.0 meV per atom. The density of states at the Fermi level is 3.3 states/eV/cell. Its formation energy is -347 meV per atom.

=====

No. 3
Below is a relaxed structure of SmDyAlAg, with properties calculated at the PBE level.

```
SmDyAlAg
1.0
5.210 0.000 0.000
2.605 4.512 0.000
2.605 1.504 4.254
Al Dy Sm Ag
1 1 1 1
Cartesian
7.816 4.512 3.191
0.000 0.000 0.000
5.210 3.008 2.127
2.605 1.504 1.064
```

Its space-group type is F-43m. The value obtained for the raw total energy is -4.298 eV/atom. The energy above the most stable polymorph in this dataset is 28.3 meV per atom. The density of states at the Fermi level is 4.1 states/eV/cell. Its formation energy is -319 meV per atom.

=====

No. 4
Below is a relaxed structure of SrDyAl2Ag5, with properties calculated at the PBE level.

```
SrDyAl2Ag5
1.0
4.688 0.000 0.000
0.000 4.688 0.000
0.000 0.000 8.926
Ag Dy Sr Al
5 1 1 2
Cartesian
2.344 2.344 4.463
2.344 0.000 6.609
0.000 2.344 2.317
2.344 0.000 2.317
0.000 2.344 6.609
0.000 0.000 0.000
0.000 0.000 4.463
2.344 2.344 1.274
2.344 2.344 7.651
```

Its space-group type is P4/mmm. The value obtained for the raw total energy is -3.278 eV/atom. The density of states at the Fermi level is 3.6 states/eV/cell. Its formation energy is -164 meV per atom.

=====

No. 5
Below is a relaxed structure of TbDyAlAg, with properties calculated at the PBE level.

```
TbDyAlAg
1.0
3.557 0.000 0.000
0.000 3.557 0.000
0.000 0.000 7.577
Ag Dy Al Tb
1 1 1 1
Cartesian
1.778 1.778 0.837
0.000 0.000 2.702
1.778 1.778 4.585
0.000 0.000 6.485
```

Its space-group type is P4mm. The value obtained for the raw total energy is -4.316 eV/atom. The energy above the most stable polymorph in this dataset is 0.0 meV per atom. The density of states at the Fermi level is 2.9 states/eV/cell. Its formation energy is -359 meV per atom.

=====

No. 6
Below is a relaxed structure of TbDyAlAg, with properties calculated at the PBE level.

```
TbDyAlAg
1.0
-0.904 3.810 -3.370
-1.268 -1.117 -4.882
-4.805 0.872 -1.685
Tb Ag Al Dy
1 1 1 1
Cartesian
0.000 0.000 0.000
-1.744 0.891 -2.484
-5.233 2.674 -7.453
-3.489 1.782 -4.969
```

Its space-group type is F-43m. The value obtained for the raw total energy is -4.294 eV/atom. The energy above the most stable polymorph in this dataset is 21.8 meV per atom. The density of states at the Fermi level is 3.8 states/eV/cell. Its formation energy is -338 meV per atom.

=====

No. 7
Below is a relaxed structure of DyThAlAg, with properties calculated at the PBE level.

```
DyThAlAg
1.0
5.235 0.000 0.000
2.617 4.534 0.000
2.617 1.511 4.274
Th Al Dy Ag
1 1 1 1
Cartesian
5.235 3.022 2.137
7.852 4.534 3.206
0.000 0.000 0.000
2.617 1.511 1.069
```

Its space-group type is F-43m. The value obtained for the raw total energy is -4.856 eV/atom. The density of states at the Fermi level is 5.3 states/eV/cell. Its formation energy is -202 meV per atom.

=====

No. 8
Below is a relaxed structure of Dy4AlTlAg2, with properties calculated at the PBE level.

```
Dy4AlTlAg2
1.0
-3.378 -3.045 -2.523
-3.727 -2.491 2.636
-7.580 4.822 -1.030
Ag Dy Al Tl
2 4 1 1
Cartesian
-10.965 -0.598 -0.677
-3.720 -0.116 -0.239
-5.592 2.278 -0.622
-9.257 2.093 -0.850
-9.094 -2.992 -0.294
-5.428 -2.806 -0.066
-7.343 -0.357 -0.458
0.000 0.000 0.000
```

Its space-group type is R-3m. The value obtained for the raw total energy is -4.122 eV/atom. The density of states at the Fermi level is 5.4 states/eV/cell. Its formation energy is -344 meV per atom.

=====

No. 9
Below is a relaxed structure of DyTmAlAg, with properties calculated at the PBE level.

```
DyTmAlAg
1.0
3.528 0.000 0.000
0.000 3.528 0.000
0.000 0.000 7.502
Dy Ag Al Tm
1 1 1 1
Cartesian
1.764 1.764 4.564
0.000 0.000 2.610
0.000 0.000 6.468
1.764 1.764 0.821
```

Its space-group type is P4mm. The value obtained for the raw total energy is -4.283 eV/atom. The energy above the most stable polymorph in this dataset is 0.0 meV per atom. The density of states at the Fermi level is 2.4 states/eV/cell. Its formation energy is -366 meV per atom.

=====

No. 10
Below is a relaxed structure of DyTmAlAg, with properties calculated at the PBE level.

```
DyTmAlAg
1.0
-2.434 -0.534 -4.471
-3.326 -3.834 -0.661
-5.012 0.987 -0.320
Al Tm Ag Dy
1 1 1 1
Cartesian
-8.079 -2.536 -4.089
-5.386 -1.691 -2.726
-2.693 -0.845 -1.363
0.000 0.000 0.000
```

Its space-group type is F-43m. The value obtained for the raw total energy is -4.264 eV/atom. The energy above the most stable polymorph in this dataset is 18.9 meV per atom. The density of states at the Fermi level is 3.3 states/eV/cell. Its formation energy is -347 meV per atom.

=====

No. 11
Below is a relaxed structure of DyYAlAg, with properties calculated at the PBE level.

```
DyYAlAg
1.0
-1.005 -2.956 -4.107
-2.440 -4.506 0.600
-4.854 -0.545 -1.660
Dy Ag Y Al
1 1 1 1
Cartesian
-2.075 -2.002 -1.292
-4.150 -4.004 -2.583
-6.225 -6.005 -3.875
0.000 0.000 0.000
```

Its space-group type is F-43m. The value obtained for the raw total energy is -4.770 eV/atom. The energy above the most stable polymorph in this dataset is 15.8 meV per atom. The density of states at the Fermi level is 3.5 states/eV/cell. Its formation energy is -355 meV per atom.

=====

No. 12
Below is a relaxed structure of DyYAlAg, with properties calculated at the PBE level.

```
DyYAlAg
1.0
-0.961 -0.847 3.318
0.353 -3.452 -0.780
7.239 0.251 2.161
Al Y Ag Dy
1 1 1 1
Cartesian
6.209 0.215 1.854
4.093 -1.997 2.582
2.571 0.089 0.768
0.474 -2.123 1.502
```

Its space-group type is P4mm. The value obtained for the raw total energy is -4.786 eV/atom. The energy above the most stable polymorph in this dataset is 0.0 meV per atom. The density of states at the Fermi level is 2.7 states/eV/cell. Its formation energy is -371 meV per atom.

=====

- Which of these has the lowest raw total energy?
  DyThAlAg

=====

- What is the formula in the twelfth record?
  DyYAlAg